TaMoP2S: optimized geometry, GGA-PBE.

**Formation energy from raw total energies**: 726 meV per atom
**Total magnetization**: 3.52 μB/f.u.
**Fermi-level density of states**: 2.2 states/eV per cell

a = 4.8284 Å, b = 4.8284 Å, c = 4.6865 Å
α = 90.00°, β = 90.00°, γ = 90.00°
Closest atoms and distances in Å follow each position.
Space group P4/mmm (No. 123)
Unique sites:
Ta (0.0000, 0.0000, 0.0000) (multiplicity 1)  2 S 2.34, 4 P 2.41
Mo (0.5000, 0.5000, 0.5000) (multiplicity 1)  8 P 3.36, 4 S 3.41
P (0.0000, 0.5000, 0.0000) (multiplicity 2)  2 Ta 2.41
S (0.0000, 0.0000, 0.5000) (multiplicity 1)  2 Ta 2.34